Below is crystalline In4GaHg at its relaxed geometry, with properties calculated at the GGA-PBE level.

Results
E above lowest polymorph = 0.0 meV/atom
Fermi-level density of states = 0.28 states/eV/atom
electronic total energy = -2.347 eV per atom

Lattice parameters (Å, degrees): 5.768 9.703 5.805 90.00 106.16 90.00
Sites, in units of the cell vectors:
In  0.299  0.951  0.623
In  0.701  0.049  0.377
In  0.701  0.451  0.377
In  0.299  0.549  0.623
In  0.000  0.500  0.000
In  0.000  0.000  0.000
In  0.579  0.250  0.888
In  0.421  0.750  0.112
Ga  0.038  0.250  0.693
Ga  0.962  0.750  0.307
Hg  0.746  0.750  0.711
Hg  0.254  0.250  0.289

=====

Below is crystalline KSc2Au at its relaxed geometry, with properties calculated at the GGA-PBE level.

Results
E above lowest polymorph = 158.3 meV/atom
Fermi-level density of states = 1.48 states/eV/atom
electronic total energy = -4.211 eV per atom

Lattice parameters (Å, degrees): 5.163 5.163 8.187 71.45 71.45 40.33
Each line ends with the local moment (μB).
Sites, in units of the cell vectors:
Au  0.510  0.510  0.657  0.01
K  0.176  0.176  0.275  0.01
Sc  0.020  0.020  0.907  0.26
Sc  0.794  0.794  0.661  0.09

=====

Below is crystalline LaGeRh3 at its relaxed geometry, with properties calculated at the GGA-PBE level.

Results
E above lowest polymorph = 0.0 meV/atom
Fermi-level density of states = 0.73 states/eV/atom
electronic total energy = -6.929 eV per atom

Lattice parameters (Å, degrees): 5.564 8.584 6.403 132.09 115.75 90.00
Sites, in units of the cell vectors:
La  0.250  0.258  0.500
La  0.750  0.742  0.500
Ge  0.000  0.500  0.000
Ge  0.500  0.000  0.000
Rh  0.796  0.296  0.092
Rh  0.296  0.296  0.092
Rh  0.704  0.704  0.908
Rh  0.204  0.704  0.908
Rh  0.250  0.935  0.500
Rh  0.750  0.065  0.500

=====

Below is crystalline Ta3NbF at its relaxed geometry, with properties calculated at the GGA-PBE level.

Results
E_form (uncorrected) = 1.6936 eV/atom
E above lowest polymorph = 1541.2 meV/atom
Fermi-level density of states = 1.18 states/eV/atom
electronic total energy = -7.806 eV per atom

Lattice parameters (Å, degrees): 4.932 4.932 4.932 90.00 90.00 90.00
Each line ends with the local moment (μB).
Sites, in units of the cell vectors:
Nb  0.000  0.000  0.000  -0.01
F  0.500  0.500  0.500  0.05
Ta  0.000  0.500  0.000  0.23
Ta  0.000  0.000  0.500  0.17
Ta  0.500  0.000  0.000  0.46

=====

Below is crystalline HoMg2 at its relaxed geometry, with properties calculated at the GGA-PBE level.

Results
Fermi-level density of states = 0.58 states/eV/atom
electronic total energy = -2.656 eV per atom

Lattice parameters (Å, degrees): 5.214 5.214 3.294 90.00 90.00 120.00
Sites, in units of the cell vectors:
Mg  0.333  0.667  0.000
Mg  0.667  0.333  0.000
Ho  0.000  0.000  0.500

=====

Below is crystalline Cd4InAu at its relaxed geometry, with properties calculated at the GGA-PBE level.

Results
E above lowest polymorph = 0.0 meV/atom
Fermi-level density of states = 0.35 states/eV/atom
electronic total energy = -1.651 eV per atom

Lattice parameters (Å, degrees): 3.247 3.247 12.810 89.99 89.99 90.00
Sites, in units of the cell vectors:
Cd  0.500  0.500  0.814
Cd  0.500  0.500  0.186
Cd  0.000  0.000  0.645
Cd  0.000  0.000  0.355
In  0.000  0.000  0.000
Au  0.500  0.500  0.500

=====

Below is crystalline Cs2Ho3Se6 at its relaxed geometry, with properties calculated at the GGA-PBE level.

Results
E_form (uncorrected) = -1.6487 eV/atom
Fermi-level density of states = 0.75 states/eV/atom
electronic total energy = -4.953 eV per atom

Lattice parameters (Å, degrees): 7.171 7.172 8.965 82.34 74.53 60.00
Sites, in units of the cell vectors:
Cs  0.167  0.667  0.500
Cs  0.833  0.333  0.500
Ho  0.000  0.000  0.000
Ho  0.333  0.333  0.000
Ho  0.667  0.667  0.000
Se  0.394  0.667  0.817
Se  0.727  0.000  0.817
Se  0.062  0.333  0.817
Se  0.273  0.000  0.183
Se  0.606  0.333  0.183
Se  0.938  0.667  0.183

=====

Below is crystalline CdAuN at its relaxed geometry, with properties calculated at the GGA-PBE level.

Results
E_form (uncorrected) = 0.7435 eV/atom
Fermi-level density of states = 0.04 states/eV/atom
electronic total energy = -3.429 eV per atom

Lattice parameters (Å, degrees): 5.435 2.955 7.227 90.00 111.81 90.00
Sites, in units of the cell vectors:
Cd  0.847  0.000  0.820
Cd  0.847  0.500  0.320
Au  0.327  0.000  0.449
Au  0.327  0.500  0.949
N  0.624  0.000  0.033
N  0.624  0.500  0.533